# Ac2Tb4Nd5, optimized geometry, DFT PBE-GGA
data_Ac2Tb4Nd5
_cell_length_a 7.336
_cell_length_b 7.336
_cell_length_c 10.845
_cell_angle_alpha 121.14
_cell_angle_beta 121.14
_cell_angle_gamma 57.28
_space_group_name_H-M_alt 'P 1'
_space_group_IT_number 1
_space_group_name_Hall 'P 1'
loop_
_atom_site_label
_atom_site_fract_x
_atom_site_fract_y
_atom_site_fract_z
_atom_site_occupancy
Ac1 0.069 0.069 0.250 1
Ac2 0.931 0.931 0.750 1
Tb1 0.260 0.260 0.033 1
Tb2 0.399 0.399 0.630 1
Tb3 0.601 0.601 0.370 1
Tb4 0.740 0.740 0.967 1
Nd1 0.071 0.612 0.334 1
Nd2 0.388 0.929 0.666 1
Nd3 0.500 0.500 0.000 1
Nd4 0.612 0.071 0.334 1
Nd5 0.929 0.388 0.666 1
# formation enthalpy at 0 K = 0.1523 eV/atom
# ΔE to the lowest computed polymorph = 0.119 eV per atom
# total DFT energy (no corrections) = -4.446 eV per atom
# calculated volume = 36.07 Å³ per atom
# SG = C2/m

***

# SrCaSeN2, optimized geometry, DFT PBE-GGA
data_SrCaSeN2
_cell_length_a 4.634
_cell_length_b 4.634
_cell_length_c 5.668
_cell_angle_alpha 90.00
_cell_angle_beta 90.00
_cell_angle_gamma 90.00
_space_group_name_H-M_alt 'P 1'
_space_group_IT_number 1
_space_group_name_Hall 'P 1'
loop_
_atom_site_label
_atom_site_fract_x
_atom_site_fract_y
_atom_site_fract_z
_atom_site_occupancy
Sr1 0.000 0.000 0.000 1
Ca1 0.500 0.500 0.500 1
Se1 0.500 0.500 0.000 1
N1 0.000 0.500 0.500 1
N2 0.500 0.000 0.500 1
# ΔE to the lowest computed polymorph = 0.000 eV per atom
# total DFT energy (no corrections) = -4.530 eV per atom
# calculated volume = 24.34 Å³ per atom
# formation energy (no corrections) = 233 meV/atom
# SG = P4/mmm

***

# TiVSi3, optimized geometry, DFT PBE-GGA
data_TiVSi3
_cell_length_a 4.475
_cell_length_b 4.475
_cell_length_c 4.475
_cell_angle_alpha 90.00
_cell_angle_beta 90.00
_cell_angle_gamma 90.00
_space_group_name_H-M_alt 'P 1'
_space_group_IT_number 1
_space_group_name_Hall 'P 1'
loop_
_atom_site_label
_atom_site_fract_x
_atom_site_fract_y
_atom_site_fract_z
_atom_site_occupancy
Ti1 0.000 0.000 0.000 1
V1 0.500 0.500 0.500 1
Si1 0.000 0.500 0.500 1
Si2 0.500 0.000 0.500 1
Si3 0.500 0.500 0.000 1
# ΔE to the lowest computed polymorph = 0.000 eV per atom
# total DFT energy (no corrections) = -6.173 eV per atom
# calculated volume = 17.93 Å³ per atom
# formation energy (no corrections) = 484 meV/atom
# SG = Pm-3m

***

# NaCaCuO2, optimized geometry, DFT PBE-GGA
data_NaCaCuO2
_cell_length_a 4.873
_cell_length_b 5.412
_cell_length_c 6.416
_cell_angle_alpha 90.00
_cell_angle_beta 90.00
_cell_angle_gamma 90.00
_space_group_name_H-M_alt 'P 1'
_space_group_IT_number 1
_space_group_name_Hall 'P 1'
loop_
_atom_site_label
_atom_site_fract_x
_atom_site_fract_y
_atom_site_fract_z
_atom_site_occupancy
Na1 0.000 0.000 0.250 1
Na2 0.000 0.000 0.750 1
Ca1 0.500 0.500 0.250 1
Ca2 0.500 0.500 0.750 1
Cu1 0.500 0.000 0.000 1
Cu2 0.500 0.000 0.500 1
O1 0.277 0.268 0.000 1
O2 0.277 0.732 0.500 1
O3 0.723 0.268 0.500 1
O4 0.723 0.732 0.000 1
# total DFT energy (no corrections) = -5.092 eV per atom
# calculated volume = 16.92 Å³ per atom
# formation energy (no corrections) = -1625 meV/atom
# SG = Pccm